Compound: Y2Ta3
Source: Alexandria via LeMat-Bulk
Functional: GGA-PBEsol
Structure: optimized geometry

```
data_Y2Ta3
_chemical_formula_sum 'Y2 Ta3'
_space_group_name_H-M_alt 'P 1'
_space_group_IT_number 1
_cell_length_a 13.0687
_cell_length_b 13.0687
_cell_length_c 13.0687
_cell_angle_alpha 13.47
_cell_angle_beta 13.47
_cell_angle_gamma 13.47
loop_
_space_group_symop_operation_xyz
'x,y,z'
loop_
_atom_site_label
_atom_site_type_symbol
_atom_site_fract_x
_atom_site_fract_y
_atom_site_fract_z
_atom_site_occupancy
Y1 Y 0.0983 0.0983 0.0983 1
Y2 Y 0.9017 0.9017 0.9017 1
Ta1 Ta 0.3033 0.3033 0.3033 1
Ta2 Ta 0.5000 0.5000 0.5000 1
Ta3 Ta 0.6967 0.6967 0.6967 1
```

Calculated values
V: 21.06 Å³/atom
D(E_F): 1.37 states/eV/atom
formation energy: 511 meV per atom
density: 11.4 g/cm3